{"formula": "HgHS", "functional": "PBE-GGA", "state": "relaxed", "lattice": [[4.0548, 0.0545, 0.0986], [-1.9531, 3.9181, -0.0068], [-0.2641, -0.6427, 10.0590]], "species": ["S", "H", "H", "Hg", "S", "Hg"], "frac_coords": [[0.7773, 0.4346, 0.6707], [0.5429, 0.6189, 0.2714], [0.4571, 0.3811, 0.7286], [0.5000, 0.0000, 0.5000], [0.2227, 0.5654, 0.3293], [0.0000, 0.0000, 0.0000]], "dos_at_fermi_per_ev_cell": 0.0, "space_group": "P-1, No. 2", "de_polymorph_mev_per_atom": 30.9, "m_tot_mub_per_fu": 0.0}